No. 1
Below is a geometry-optimized SbMoPt2N structure, with properties calculated at the PBE level.

The space group is P4/mmm (No. 123) and the conventional cell measures 4.167, 4.167 and 4.606 Å, with angles of 90.00, 90.00 and 90.00 degrees. The asymmetric unit holds Sb at (0.000, 0.000, 0.000), Mo at (0.500, 0.500, 0.000), Pt at (0.000, 0.500, 0.500) and N at (0.000, 0.000, 0.500).

The uncorrected formation energy is 0.750 eV per atom. The total energy comes out at -6.3218 eV per atom.

No. 2
Below is a geometry-optimized Hf2TlHg structure, with properties calculated at the PBE level.

The space group is P4/mmm (No. 123) and the conventional cell measures 4.458, 4.458 and 4.360 Å, with angles of 90.00, 90.00 and 90.00 degrees. The asymmetric unit holds Hf at (0.000, 0.500, 0.000), Tl at (0.000, 0.000, 0.500) and Hg at (0.500, 0.500, 0.500).

The value obtained for the formation energy is 0.04 eV per atom. The total energy comes out at -5.5999 eV per atom.

No. 3
Below is a geometry-optimized Li8NdAl4 structure, with properties calculated at the PBE level.

The space group is I4/mmm (No. 139) and the conventional cell measures 9.370, 9.370 and 5.494 Å, with angles of 90.00, 90.00 and 90.00 degrees. The asymmetric unit holds Li at (0.000, 0.220, 0.000), Li at (0.000, 0.347, 0.500), Nd at (0.000, 0.000, 0.500) and Al at (0.250, 0.250, 0.250).

The value obtained for the formation energy is -0.14 eV per atom. The total energy comes out at -2.8347 eV per atom.

No. 4
Below is a geometry-optimized TbSm2Te4 structure, with properties calculated at the PBE level.

The space group is C2/m (No. 12) and the conventional cell measures 16.475, 4.407 and 7.716 Å, with angles of 90.00, 117.48 and 90.00 degrees. The asymmetric unit holds Tb at (0.000, 0.000, 0.000), Sm at (0.242, 0.500, 0.730), Te at (0.119, 0.000, 0.446) and Te at (0.127, 0.500, 0.968).

The uncorrected formation energy is -1.401 eV per atom. The total energy comes out at -5.2063 eV per atom. As for the offset from the most stable computed form: 0.0000 eV/atom.

No. 5
Below is a geometry-optimized Cd2ReSi structure, with properties calculated at the PBE level.

The space group is P4mm (No. 99) and the conventional cell measures 3.210, 3.210 and 7.008 Å, with angles of 90.00, 90.00 and 90.00 degrees. The asymmetric unit holds Cd at (0.000, 0.000, 0.000), Cd at (0.500, 0.500, 0.296), Re at (0.000, 0.000, 0.580) and Si at (0.500, 0.500, 0.712).

The uncorrected formation energy is 0.202 eV per atom. The total energy comes out at -4.7234 eV per atom.

No. 6
Below is a geometry-optimized LiSc5Ga3 structure, with properties calculated at the PBE level.

The space group is P6_3/mcm (No. 193) and the conventional cell measures 8.3002, 8.3002 and 6.0214 Å, with angles of 90.00, 90.00 and 120.00 degrees. The asymmetric unit holds Li at (0.0000, 0.0000, 0.0000), Sc at (0.0000, 0.3084, 0.2500), Sc at (0.3333, 0.6667, 0.0000) and Ga at (0.0000, 0.3533, 0.7500).

The value obtained for the formation energy is -0.48 eV per atom. The total energy comes out at -5.2161 eV per atom.

No. 7
Below is a geometry-optimized SrSmHo2 structure, with properties calculated at the PBE level.

The space group is R3m (No. 160, hexagonal axes) and the conventional cell measures 3.6766, 3.6766 and 36.4223 Å, with angles of 90.00, 90.00 and 120.00 degrees. The asymmetric unit holds Sr at (0.0000, 0.0000, 0.0000), Sm at (0.0000, 0.0000, 0.1657), Ho at (0.0000, 0.0000, 0.5770) and Ho at (0.0000, 0.0000, 0.7553).

The value obtained for the formation energy is 0.13 eV per atom. The total energy comes out at -3.7613 eV per atom. As for the offset from the most stable computed form: 0.0000 eV/atom.

No. 8
Below is a geometry-optimized Zr2TlSb2 structure, with properties calculated at the PBE level.

The space group is P4/mbm (No. 127) and the conventional cell measures 7.981, 7.981 and 3.843 Å, with angles of 90.00, 90.00 and 90.00 degrees. The asymmetric unit holds Zr at (0.146, 0.354, 0.000), Tl at (0.000, 0.000, 0.000) and Sb at (0.149, 0.649, 0.500).

The uncorrected formation energy is -0.440 eV per atom. The total energy comes out at -5.9818 eV per atom. As for the offset from the most stable computed form: 0.0000 eV/atom.

No. 9
Below is a geometry-optimized KScIr2Cl structure, with properties calculated at the PBE level.

The space group is P4/mmm (No. 123) and the conventional cell measures 4.718, 4.718 and 4.681 Å, with angles of 90.00, 90.00 and 90.00 degrees. The asymmetric unit holds K at (0.000, 0.000, 0.000), Sc at (0.500, 0.500, 0.000), Ir at (0.000, 0.500, 0.500) and Cl at (0.500, 0.500, 0.500).

The uncorrected formation energy is 0.729 eV per atom. The total energy comes out at -4.6708 eV per atom.

No. 10
Below is a geometry-optimized PuUTlBr6 structure, with properties calculated at the PBE level.

The space group is P-31c (No. 163) and the conventional cell measures 7.5184, 7.5184 and 14.6729 Å, with angles of 90.00, 90.00 and 120.00 degrees. The asymmetric unit holds Pu at (0.3333, 0.6667, 0.2500), U at (0.3333, 0.6667, 0.7500), Tl at (0.0000, 0.0000, 0.0000) and Br at (0.0037, 0.3684, 0.6340).

The uncorrected formation energy is -1.243 eV per atom. The total energy comes out at -5.4681 eV per atom.

No. 11
Below is a geometry-optimized Ho5Tm4Pu structure, with properties calculated at the PBE level.

The space group is I4/mmm (No. 139) and the conventional cell measures 10.720, 10.720 and 5.382 Å, with angles of 90.00, 90.00 and 90.00 degrees. The asymmetric unit holds Ho at (0.000, 0.000, 0.000), Ho at (0.185, 0.185, 0.500), Tm at (0.000, 0.327, 0.000) and Pu at (0.000, 0.000, 0.500).

The value obtained for the formation energy is 0.27 eV per atom. The total energy comes out at -5.2382 eV per atom. As for the offset from the most stable computed form: 0.2131 eV/atom.

No. 12
Below is a geometry-optimized SrSe2Cl structure, with properties calculated at the PBE level.

The space group is P4mm (No. 99) and the conventional cell measures 3.922, 3.922 and 7.451 Å, with angles of 90.00, 90.00 and 90.00 degrees. The asymmetric unit holds Sr at (0.000, 0.000, 0.000), Se at (0.000, 0.000, 0.608), Se at (0.500, 0.500, 0.664) and Cl at (0.500, 0.500, 0.159).

The uncorrected formation energy is -1.172 eV per atom. The total energy comes out at -3.7965 eV per atom. As for the offset from the most stable computed form: 0.1124 eV/atom.

Number 3 is which compound?
Li8NdAl4

Which formula does entry 1 have?
SbMoPt2N